Entry 1:
# Tb2PrTl3S6 (GGA-PBE, optimized geometry)
data_Tb2PrTl3S6
_chemical_formula_sum 'Tb4 Pr2 Tl6 S12'
_space_group_name_H-M_alt 'C 1 2/m 1'
_space_group_IT_number 12
_space_group_name_Hall '-C 2y'
_cell_length_a 7.115
_cell_length_b 12.319
_cell_length_c 7.874
_cell_angle_alpha 90.00
_cell_angle_beta 107.54
_cell_angle_gamma 90.00
loop_
_atom_site_label
_atom_site_type_symbol
_atom_site_fract_x
_atom_site_fract_y
_atom_site_fract_z
_atom_site_occupancy
Tb1 Tb 0.000 0.167 0.000 1
Pr1 Pr 0.000 0.500 0.000 1
Tl1 Tl 0.000 0.000 0.500 1
Tl2 Tl 0.000 0.334 0.500 1
S1 S 0.224 0.000 0.200 1
S2 S 0.239 0.329 0.202 1
# M_tot ... 0.0 μB per formula unit
# VASP energy ... -5.297 eV per atom

---

Entry 2:
# Cs3ScF (GGA-PBE, optimized geometry)
data_Cs3ScF
_chemical_formula_sum 'Cs3 Sc1 F1'
_space_group_name_H-M_alt 'P m -3 m'
_space_group_IT_number 221
_space_group_name_Hall '-P 4 2 3'
_cell_length_a 6.259
_cell_length_b 6.259
_cell_length_c 6.259
_cell_angle_alpha 90.00
_cell_angle_beta 90.00
_cell_angle_gamma 90.00
loop_
_atom_site_label
_atom_site_type_symbol
_atom_site_fract_x
_atom_site_fract_y
_atom_site_fract_z
_atom_site_occupancy
Cs1 Cs 0.000 0.000 0.500 1
Sc1 Sc 0.500 0.500 0.500 1
F1 F 0.000 0.000 0.000 1
# M_tot ... 2.7 μB per formula unit
# VASP energy ... -2.674 eV per atom
# Polymorph energy (0 for the lowest one) ... 0.00 kcal/mol of atoms

---

Entry 3:
# LiMnW2 (GGA-PBE, optimized geometry)
data_LiMnW2
_chemical_formula_sum 'Li1 Mn1 W2'
_space_group_name_H-M_alt 'P 4/m m m'
_space_group_IT_number 123
_space_group_name_Hall '-P 4 2'
_cell_length_a 3.133
_cell_length_b 3.133
_cell_length_c 5.553
_cell_angle_alpha 90.00
_cell_angle_beta 90.00
_cell_angle_gamma 90.00
loop_
_atom_site_label
_atom_site_type_symbol
_atom_site_fract_x
_atom_site_fract_y
_atom_site_fract_z
_atom_site_occupancy
Li1 Li 0.000 0.000 0.000 1
Mn1 Mn 0.000 0.000 0.500 1
W1 W 0.500 0.500 0.258 1
# M_tot ... 0.5 μB per formula unit
# VASP energy ... -8.709 eV per atom
# ΔE_f ... 51.9 kJ/mol of atoms
# Polymorph energy (0 for the lowest one) ... 4.74 kcal/mol of atoms

---

Entry 4:
# TbDyHgPt (GGA-PBE, optimized geometry)
data_TbDyHgPt
_chemical_formula_sum 'Tb1 Dy1 Hg1 Pt1'
_space_group_name_H-M_alt 'P 4 m m'
_space_group_IT_number 99
_space_group_name_Hall 'P 4 -2'
_cell_length_a 3.582
_cell_length_b 3.582
_cell_length_c 7.377
_cell_angle_alpha 90.00
_cell_angle_beta 90.00
_cell_angle_gamma 90.00
loop_
_atom_site_label
_atom_site_type_symbol
_atom_site_fract_x
_atom_site_fract_y
_atom_site_fract_z
_atom_site_occupancy
Tb1 Tb 0.000 0.000 0.000 1
Dy1 Dy 0.000 0.000 0.549 1
Hg1 Hg 0.500 0.500 0.276 1
Pt1 Pt 0.500 0.500 0.772 1
# M_tot ... 0.0 μB per formula unit
# VASP energy ... -4.755 eV per atom
# ΔE_f ... -83.1 kJ/mol of atoms
# Polymorph energy (0 for the lowest one) ... 0.00 kcal/mol of atoms

---

Entry 5:
# CuAgPt2 (GGA-PBE, optimized geometry)
data_CuAgPt2
_chemical_formula_sum 'Cu1 Ag1 Pt2'
_space_group_name_H-M_alt 'P 1 2/m 1'
_space_group_IT_number 10
_space_group_name_Hall '-P 2y'
_cell_length_a 2.747
_cell_length_b 4.658
_cell_length_c 4.845
_cell_angle_alpha 90.00
_cell_angle_beta 92.29
_cell_angle_gamma 90.00
loop_
_atom_site_label
_atom_site_type_symbol
_atom_site_fract_x
_atom_site_fract_y
_atom_site_fract_z
_atom_site_occupancy
Cu1 Cu 0.000 0.000 0.000 1
Ag1 Ag 0.500 0.000 0.500 1
Pt1 Pt 0.229 0.500 0.758 1
# M_tot ... 0.0 μB per formula unit
# VASP energy ... -4.793 eV per atom
# ΔE_f ... -3.4 kJ/mol of atoms
# Polymorph energy (0 for the lowest one) ... 2.29 kcal/mol of atoms

---

Entry 6:
# AcCd4Sn (GGA-PBE, optimized geometry)
data_AcCd4Sn
_chemical_formula_sum 'Ac4 Cd16 Sn4'
_space_group_name_H-M_alt 'F -4 3 m'
_space_group_IT_number 216
_space_group_name_Hall 'F -4 2 3'
_cell_length_a 8.654
_cell_length_b 8.654
_cell_length_c 8.654
_cell_angle_alpha 90.00
_cell_angle_beta 90.00
_cell_angle_gamma 90.00
loop_
_atom_site_label
_atom_site_type_symbol
_atom_site_fract_x
_atom_site_fract_y
_atom_site_fract_z
_atom_site_occupancy
Ac1 Ac 0.000 0.000 0.000 1
Cd1 Cd 0.124 0.124 0.376 1
Sn1 Sn 0.250 0.250 0.750 1
# M_tot ... 0.0 μB per formula unit
# VASP energy ... -2.129 eV per atom
# ΔE_f ... -16.1 kJ/mol of atoms
# Polymorph energy (0 for the lowest one) ... 1.54 kcal/mol of atoms

---

Entry 7:
# SrTaMn (GGA-PBE, optimized geometry)
data_SrTaMn
_chemical_formula_sum 'Sr2 Ta2 Mn2'
_space_group_name_H-M_alt 'I 4 m m'
_space_group_IT_number 107
_space_group_name_Hall 'I 4 -2'
_cell_length_a 3.367
_cell_length_b 3.367
_cell_length_c 12.242
_cell_angle_alpha 90.00
_cell_angle_beta 90.00
_cell_angle_gamma 90.00
loop_
_atom_site_label
_atom_site_type_symbol
_atom_site_fract_x
_atom_site_fract_y
_atom_site_fract_z
_atom_site_occupancy
Sr1 Sr 0.000 0.000 0.000 1
Ta1 Ta 0.000 0.000 0.719 1
Mn1 Mn 0.000 0.000 0.294 1
# M_tot ... 1.9 μB per formula unit
# VASP energy ... -7.019 eV per atom
# ΔE_f ... 53.0 kJ/mol of atoms
# Polymorph energy (0 for the lowest one) ... 0.00 kcal/mol of atoms

---

Entry 8:
# Pr13Sm2 (GGA-PBE, optimized geometry)
data_Pr13Sm2
_chemical_formula_sum 'Pr39 Sm6'
_space_group_name_H-M_alt 'R -3 m'
_space_group_IT_number 166
_space_group_name_Hall '-R 3 2"'
_cell_length_a 7.2986
_cell_length_b 7.2986
_cell_length_c 35.8931
_cell_angle_alpha 90.00
_cell_angle_beta 90.00
_cell_angle_gamma 120.00
loop_
_atom_site_label
_atom_site_type_symbol
_atom_site_fract_x
_atom_site_fract_y
_atom_site_fract_z
_atom_site_occupancy
Pr1 Pr 0.0000 0.0000 0.0000 1
Pr2 Pr 0.0024 0.5012 0.9551 1
Pr3 Pr 0.0026 0.5013 0.7900 1
Sm1 Sm 0.0000 0.0000 0.2060 1
# M_tot ... 0.0 μB per formula unit
# VASP energy ... -4.633 eV per atom
# ΔE_f ... 13.3 kJ/mol of atoms
# Polymorph energy (0 for the lowest one) ... 2.02 kcal/mol of atoms

---

Entry 9:
# CeCd2GaPd2 (GGA-PBE, optimized geometry)
data_CeCd2GaPd2
_chemical_formula_sum 'Ce2 Cd4 Ga2 Pd4'
_space_group_name_H-M_alt 'I 4/m m m'
_space_group_IT_number 139
_space_group_name_Hall '-I 4 2'
_cell_length_a 5.338
_cell_length_b 5.338
_cell_length_c 10.343
_cell_angle_alpha 90.00
_cell_angle_beta 90.00
_cell_angle_gamma 90.00
loop_
_atom_site_label
_atom_site_type_symbol
_atom_site_fract_x
_atom_site_fract_y
_atom_site_fract_z
_atom_site_occupancy
Ce1 Ce 0.000 0.000 0.000 1
Cd1 Cd 0.000 0.500 0.250 1
Ga1 Ga 0.000 0.000 0.500 1
Pd1 Pd 0.000 0.000 0.267 1
# M_tot ... 1.0 μB per formula unit
# VASP energy ... -3.734 eV per atom
# ΔE_f ... -19.7 kJ/mol of atoms

---

Entry 10:
# Ce3CuIr8 (GGA-PBE, optimized geometry)
data_Ce3CuIr8
_chemical_formula_sum 'Ce9 Cu3 Ir24'
_space_group_name_H-M_alt 'R 3 m'
_space_group_IT_number 160
_space_group_name_Hall 'R 3 -2"'
_cell_length_a 5.3483
_cell_length_b 5.3483
_cell_length_c 26.1787
_cell_angle_alpha 90.00
_cell_angle_beta 90.00
_cell_angle_gamma 120.00
loop_
_atom_site_label
_atom_site_type_symbol
_atom_site_fract_x
_atom_site_fract_y
_atom_site_fract_z
_atom_site_occupancy
Ce1 Ce 0.0000 0.0000 0.0000 1
Ce2 Ce 0.0000 0.0000 0.1291 1
Ce3 Ce 0.0000 0.0000 0.6123 1
Cu1 Cu 0.0000 0.0000 0.4831 1
Ir1 Ir 0.0000 0.0000 0.3110 1
Ir2 Ir 0.0000 0.0000 0.8113 1
Ir3 Ir 0.9995 0.4998 0.0612 1
Ir4 Ir 0.0020 0.5010 0.5605 1
# M_tot ... 0.0 μB per formula unit
# VASP energy ... -8.268 eV per atom
# ΔE_f ... -51.7 kJ/mol of atoms

---

Entry 11:
# Nb2Pd2N (GGA-PBE, optimized geometry)
data_Nb2Pd2N
_chemical_formula_sum 'Nb4 Pd4 N2'
_space_group_name_H-M_alt 'P 4/m b m'
_space_group_IT_number 127
_space_group_name_Hall '-P 4 2ab'
_cell_length_a 5.668
_cell_length_b 5.668
_cell_length_c 4.831
_cell_angle_alpha 90.00
_cell_angle_beta 90.00
_cell_angle_gamma 90.00
loop_
_atom_site_label
_atom_site_type_symbol
_atom_site_fract_x
_atom_site_fract_y
_atom_site_fract_z
_atom_site_occupancy
Nb1 Nb 0.173 0.327 0.000 1
Pd1 Pd 0.166 0.666 0.500 1
N1 N 0.000 0.000 0.000 1
# M_tot ... 0.0 μB per formula unit
# VASP energy ... -8.122 eV per atom

---

Entry 12:
# SrLi2Hg (GGA-PBE, optimized geometry)
data_SrLi2Hg
_chemical_formula_sum 'Sr1 Li2 Hg1'
_space_group_name_H-M_alt 'P 1 m 1'
_space_group_IT_number 6
_space_group_name_Hall 'P -2y'
_cell_length_a 3.828
_cell_length_b 3.812
_cell_length_c 7.343
_cell_angle_alpha 90.00
_cell_angle_beta 90.17
_cell_angle_gamma 90.00
loop_
_atom_site_label
_atom_site_type_symbol
_atom_site_fract_x
_atom_site_fract_y
_atom_site_fract_z
_atom_site_occupancy
Sr1 Sr 0.000 0.000 0.000 1
Li1 Li 0.002 0.000 0.535 1
Li2 Li 0.503 0.500 0.343 1
Hg1 Hg 0.499 0.500 0.720 1
# M_tot ... 0.0 μB per formula unit
# VASP energy ... -1.681 eV per atom
# ΔE_f ... -22.0 kJ/mol of atoms